(1)
DFT (PBE-GGA) results for a relaxed structure of FeTcRh2.

Formation energy from the elements ... -0.01 eV/atom
VASP energy ... -8.390 eV per atom
D(E_F) ... 4.58 states/eV per cell
Polymorph energy (0 for the lowest one) ... 74 meV per atom
SG ... P4mm (99)

Cell and atoms, written as POSCAR:
```
FeTcRh2
1.0
-1.215 2.398 0.139
-1.005 -0.649 2.411
6.118 2.905 3.333
Tc Fe Rh
1 1 2
Cartesian
3.095 1.470 1.686
3.500 3.064 3.786
6.030 2.863 3.284
0.451 1.616 2.125
```

---

(2)
DFT (PBE-GGA) results for a relaxed structure of FeTcRh2.

Formation energy from the elements ... 0.00 eV/atom
VASP energy ... -8.383 eV per atom
D(E_F) ... 4.58 states/eV per cell
Polymorph energy (0 for the lowest one) ... 80 meV per atom
SG ... I-4m2 (119)

Cell and atoms, written as POSCAR:
```
FeTcRh2
1.0
4.673 0.071 0.000
1.542 4.412 0.000
-3.108 -2.242 2.676
Rh Fe Tc
2 1 1
Cartesian
0.771 2.206 1.338
0.000 0.000 0.000
2.337 0.036 1.338
3.108 2.242 0.000
```

---

(3)
DFT (PBE-GGA) results for a relaxed structure of FeTc4Rh.

Formation energy from the elements ... 0.38 eV/atom
VASP energy ... -9.162 eV per atom
D(E_F) ... 4.79 states/eV per cell
SG ... F-43m (216)

Cell and atoms, written as POSCAR:
```
FeTc4Rh
1.0
-3.520 -2.953 -2.094
-4.805 0.336 1.515
-3.479 2.002 -3.063
Tc Rh Fe
4 1 1
Cartesian
-6.186 -1.707 -2.412
-6.828 -0.063 -0.609
-6.166 0.770 -2.897
-4.428 -0.231 -1.366
0.000 0.000 0.000
-8.853 -0.461 -2.731
```

---

(4)
DFT (PBE-GGA) results for a relaxed structure of FeTcRh6.

Formation energy from the elements ... -0.07 eV/atom
VASP energy ... -7.938 eV per atom
D(E_F) ... 7.68 states/eV per cell
SG ... P4/mmm (123)

Cell and atoms, written as POSCAR:
```
FeTcRh6
1.0
-2.476 -2.130 -1.988
-1.807 -0.923 3.240
-4.582 6.091 -0.820
Rh Fe Tc
6 1 1
Cartesian
-4.335 4.100 1.006
-4.432 1.519 0.216
-2.054 1.068 1.414
-4.669 3.496 -1.608
-2.141 -1.527 0.626
-2.388 0.464 -1.200
0.000 0.000 0.000
-2.291 3.045 -0.410
```

---

(5)
DFT (PBE-GGA) results for a relaxed structure of FeTc2Rh.

Formation energy from the elements ... 0.03 eV/atom
VASP energy ... -9.106 eV per atom
D(E_F) ... 4.76 states/eV per cell
Polymorph energy (0 for the lowest one) ... 28 meV per atom
SG ... I4/mmm (139)

Cell and atoms, written as POSCAR:
```
FeTc2Rh
1.0
-2.780 -2.799 -2.536
-0.754 -4.081 2.183
-0.359 4.471 1.369
Rh Fe Tc
1 1 2
Cartesian
-2.453 -0.884 -0.672
-1.440 -1.525 1.688
-1.767 -3.440 -0.176
0.000 0.000 0.000
```

---

(6)
DFT (PBE-GGA) results for a relaxed structure of FeTcRh2.

Formation energy from the elements ... 1.08 eV/atom
VASP energy ... -7.306 eV per atom
D(E_F) ... 3.80 states/eV per cell
Polymorph energy (0 for the lowest one) ... 1158 meV per atom
SG ... I-42d (122)

Cell and atoms, written as POSCAR:
```
FeTcRh2
1.0
5.275 0.000 0.000
0.000 5.275 0.000
2.637 2.637 5.519
Fe Rh Tc
2 4 2
Cartesian
2.637 2.637 0.000
2.637 5.275 2.759
6.593 6.472 4.139
3.835 1.319 1.380
1.440 3.956 1.380
3.956 4.077 4.139
0.000 0.000 0.000
5.275 2.637 2.759
```

---

(7)
DFT (PBE-GGA) results for a relaxed structure of Fe2TcRh2.

Formation energy from the elements ... 0.24 eV/atom
VASP energy ... -8.161 eV per atom
D(E_F) ... 16.22 states/eV per cell
Polymorph energy (0 for the lowest one) ... 0 meV per atom
SG ... P4/mbm (127)

Cell and atoms, written as POSCAR:
```
Fe2TcRh2
1.0
6.968 0.000 0.000
0.000 6.968 0.000
0.000 0.000 2.674
Rh Fe Tc
4 4 2
Cartesian
5.726 2.243 1.337
4.725 5.726 1.337
2.243 1.241 1.337
1.241 4.725 1.337
2.668 6.152 0.000
6.152 4.300 0.000
4.300 0.816 0.000
0.816 2.668 0.000
3.484 3.484 0.000
0.000 0.000 0.000
```

---

(8)
DFT (PBE-GGA) results for a relaxed structure of FeTc2Rh.

Formation energy from the elements ... 0.27 eV/atom
VASP energy ... -8.868 eV per atom
D(E_F) ... 4.79 states/eV per cell
Polymorph energy (0 for the lowest one) ... 266 meV per atom
SG ... P4/mmm (123)

Cell and atoms, written as POSCAR:
```
FeTc2Rh
1.0
4.534 0.000 0.000
0.000 4.534 0.000
0.000 0.000 2.734
Fe Tc Rh
1 2 1
Cartesian
2.267 0.000 1.367
0.000 0.000 0.000
2.267 2.267 0.000
0.000 2.267 1.367
```

---

(9)
DFT (PBE-GGA) results for a relaxed structure of FeTc2Rh.

Formation energy from the elements ... 0.47 eV/atom
VASP energy ... -8.666 eV per atom
D(E_F) ... 6.95 states/eV per cell
Polymorph energy (0 for the lowest one) ... 468 meV per atom
SG ... Fm-3m (225)

Cell and atoms, written as POSCAR:
```
FeTc2Rh
1.0
-2.446 -3.344 1.040
0.293 -1.731 3.894
-3.194 0.477 2.795
Tc Fe Rh
2 1 1
Cartesian
-4.010 -3.448 5.797
-1.337 -1.149 1.932
0.000 0.000 0.000
-2.673 -2.299 3.865
```

---

(10)
DFT (PBE-GGA) results for a relaxed structure of FeTcRh2.

Formation energy from the elements ... 0.04 eV/atom
VASP energy ... -8.345 eV per atom
D(E_F) ... 4.42 states/eV per cell
Polymorph energy (0 for the lowest one) ... 118 meV per atom
SG ... R3m (160)

Cell and atoms, written as POSCAR:
```
FeTcRh2
1.0
-8.097 -3.559 0.222
-6.634 -5.832 0.492
-7.233 -4.335 2.678
Rh Fe Tc
2 1 1
Cartesian
-5.439 -3.399 0.840
-0.078 -0.049 0.012
-16.457 -10.285 2.542
-10.971 -6.857 1.695
```

---

(11)
DFT (PBE-GGA) results for a relaxed structure of FeTcRh2.

Formation energy from the elements ... -0.08 eV/atom
VASP energy ... -8.464 eV per atom
D(E_F) ... 3.55 states/eV per cell
Polymorph energy (0 for the lowest one) ... 0 meV per atom
SG ... P4/mmm (123)

Cell and atoms, written as POSCAR:
```
FeTcRh2
1.0
2.705 0.000 0.000
0.000 2.705 0.000
0.000 0.000 7.525
Fe Tc Rh
1 1 2
Cartesian
1.352 1.352 5.644
1.352 1.352 1.881
0.000 0.000 3.792
0.000 0.000 7.495
```

---

(12)
DFT (PBE-GGA) results for a relaxed structure of FeTcRh2.

Formation energy from the elements ... -0.01 eV/atom
VASP energy ... -8.395 eV per atom
D(E_F) ... 4.78 states/eV per cell
Polymorph energy (0 for the lowest one) ... 69 meV per atom
SG ... C2/m (12)

Cell and atoms, written as POSCAR:
```
FeTcRh2
1.0
-1.747 -2.468 3.564
-1.305 -4.207 1.564
3.947 -1.332 2.030
Rh Fe Tc
2 1 1
Cartesian
3.934 -1.342 2.036
0.461 -3.994 3.574
0.672 -6.005 5.368
0.224 -2.002 1.789
```